1.
A plane-wave DFT calculation with PBE+U was carried out for crystalline Cr2BO6 at its relaxed geometry.

It has space group P4_2/mnm (No. 136), with a = 4.3350 Å, b = 4.3350 Å, c = 8.3700 Å, α = 90.00°, β = 90.00° and γ = 90.00°. The distinct sites, in fractional coordinates, are Cr at (0.0000, 0.0000, 0.1681), B at (0.0000, 0.0000, 0.5000), O at (0.1860, 0.1860, 0.3494) and O at (0.2186, 0.2186, 0.0000).

As for the total magnetization: 2.999 μB/f.u.

2.
A plane-wave DFT calculation with PBE+U was carried out for crystalline CrBO4 at its relaxed geometry.

It has space group P2_1/c (No. 14), with a = 4.9284 Å, b = 4.2514 Å, c = 5.6286 Å, α = 90.00°, β = 90.10° and γ = 90.00°. The distinct sites, in fractional coordinates, are Cr at (0.0000, 0.0000, 0.0000), B at (0.5000, 0.0000, 0.5000), O at (0.1526, 0.2500, 0.2502) and O at (0.3298, 0.7259, 0.0006).

As for the total magnetization: 1.000 μB/f.u.

| no. | uncorrected energy (eV/cell) |
| --- | --- |
| 1 | -126.0 |
| 2 | -83.8 |